(1)
A plane-wave DFT calculation with PBE was carried out for NpAs2IrRh2 after structural relaxation.

Geometry as POSCAR:
```
NpAs2IrRh2
1.0
3.8316 0.0000 0.0000
0.0000 8.1604 0.0000
0.0000 0.0000 6.5972
Np As Ir Rh
2 4 2 4
direct
0.0000 0.0638 0.0000
0.0000 0.9362 0.5000
0.0000 0.3881 0.7811
0.0000 0.6119 0.2811
0.5000 0.1724 0.3054
0.5000 0.8276 0.8054
0.5000 0.1555 0.6971
0.5000 0.8445 0.1971
0.0000 0.3379 0.4145
0.0000 0.6621 0.9145
0.5000 0.3855 0.0381
0.5000 0.6145 0.5381
```

Computed properties:
- formation energy from the elements (eV per atom) = -0.38
- DFT total energy (Ry per atom) = -0.5891

***

(2)
A plane-wave DFT calculation with PBE was carried out for LiTeRh2Au after structural relaxation.

Geometry as POSCAR:
```
LiTeRh2Au
1.0
4.9715 0.0000 0.0000
0.0000 4.9715 0.0000
0.0000 0.0000 4.3202
Li Te Rh Au
1 1 2 1
direct
0.0000 0.0000 0.0000
0.5000 0.5000 0.0000
0.0000 0.5000 0.5000
0.5000 0.0000 0.5000
0.0000 0.0000 0.5000
```

Computed properties:
- DFT total energy (Ry per atom) = -0.2919

***

(3)
A plane-wave DFT calculation with PBE was carried out for Mn2CuNi after structural relaxation.

Geometry as POSCAR:
```
Mn2CuNi
1.0
1.3655 -2.0501 0.0000
1.3655 2.0501 0.0000
0.0000 0.0000 8.2401
Mn Cu Ni
2 1 1
direct
0.0000 0.0000 0.0000
0.5000 0.5000 0.2398
0.0000 0.0000 0.5001
0.5000 0.5000 0.7539
```

Computed properties:
- formation energy from the elements (eV per atom) = 0.14
- DFT total energy (Ry per atom) = -0.5081